## Mn5CrO8 (PBE+U)

Data for a relaxed structure of Mn5CrO8.

Structure (POSCAR):
```
Mn5CrO8
1.0
5.465 -2.982 0.000
5.465 2.982 0.000
-3.242 0.000 5.032
Mn Cr O
5 1 8
Direct
0.000 0.000 0.000
0.000 0.500 0.500
0.373 0.373 0.118
0.500 0.000 0.500
0.627 0.627 0.882
0.000 0.000 0.500
0.217 0.771 0.751
0.224 0.224 0.703
0.229 0.783 0.249
0.250 0.250 0.286
0.750 0.750 0.714
0.771 0.217 0.751
0.776 0.776 0.297
0.783 0.229 0.249
```

Calculated volume: 164.0 Å³ per cell
Theoretical density: 4.60 Mg/m³
E: -108.5 eV per cell